# 1
This record from Alexandria describes Th4AsPtSe2 after structural relaxation. The functional is GGA-PBE.

a b c (Å): 7.3558 4.1761 7.4530
angles (deg): 90.00 109.00 90.00
Space group P2/m (No. 10)
Inequivalent atoms, fractional coordinates:
Th 0.2333 0.0000 0.2372 x2
Th 0.2425 0.5000 0.7491 x2
As 0.0000 0.0000 0.5000 x1
Pt 0.0000 0.5000 0.0000 x1
Se 0.5000 0.0000 0.0000 x1
Se 0.5000 0.5000 0.5000 x1



# 2
This record from Alexandria describes Th6As2PtSe3 after structural relaxation. The functional is GGA-PBE.

a b c (Å): 18.4785 4.1896 8.5723
angles (deg): 90.00 102.63 90.00
Space group C2/m (No. 12)
Inequivalent atoms, fractional coordinates:
Th 0.0016 0.0000 0.2361 x4
Th 0.1646 0.5000 0.0847 x4
Th 0.1676 0.5000 0.5802 x4
As 0.1672 0.0000 0.3337 x4
Pt 0.0000 0.5000 0.0000 x2
Se 0.0000 0.5000 0.5000 x2
Se 0.1672 0.0000 0.8322 x4



# 3
This record from Alexandria describes Th4As2PtSe after structural relaxation. The functional is GGA-PBE.

a b c (Å): 7.3985 4.1444 7.4545
angles (deg): 90.00 109.08 90.00
Space group P2/m (No. 10)
Inequivalent atoms, fractional coordinates:
Th 0.2377 0.0000 0.2416 x2
Th 0.2453 0.5000 0.7462 x2
As 0.0000 0.0000 0.5000 x1
As 0.5000 0.5000 0.5000 x1
Pt 0.0000 0.5000 0.0000 x1
Se 0.5000 0.0000 0.0000 x1



# 4
This record from Alexandria describes Th8As4PtSe3 after structural relaxation. The functional is GGA-PBE.

a b c (Å): 8.4650 8.4650 20.7825
angles (deg): 90.00 90.00 120.00
Space group R-3m (No. 166, hexagonal axes)
Inequivalent atoms, fractional coordinates:
Th 0.0000 0.0000 0.2480 x6
Th 0.0067 0.5034 0.7503 x18
As 0.0000 0.0000 0.5000 x3
As 0.0000 0.5000 0.5000 x9
Pt 0.0000 0.0000 0.0000 x3
Se 0.0000 0.5000 0.0000 x9



| no. | calculated total energy (eV/atom) | theoretical density (g cm⁻³) |
| --- | --- | --- |
| 1 | -7.3401 | 10.402 |
| 2 | -7.3000 | 10.124 |
| 3 | -7.4411 | 10.393 |
| 4 | -7.3471 | 9.996 |